No. 1
First-principles (PBE) data for a geometry-optimized CsErTa6Br18 structure, as listed in Alexandria via LeMat-Bulk.

```
CsErTa6Br18
1.0
9.934 0.000 0.000
-4.967 8.603 0.000
0.000 0.000 18.438
Cs Er Ta Br
2 2 12 36
Cartesian
0.000 5.735 4.609
4.967 2.868 13.828
0.000 5.735 13.828
4.967 2.868 4.609
-0.528 1.596 10.405
-3.849 7.348 17.252
0.528 1.596 17.252
-3.321 8.263 10.405
1.646 0.340 1.186
1.118 1.256 8.033
3.849 7.348 10.405
3.321 8.263 17.252
8.288 0.340 8.033
4.439 7.007 1.186
8.816 1.256 1.186
5.495 7.007 8.033
-0.671 1.993 6.271
-3.576 7.026 2.947
-1.333 3.851 12.205
-2.299 5.523 15.451
-0.714 3.559 0.013
-2.242 6.205 9.206
0.671 1.993 2.947
-2.906 8.188 6.271
2.062 0.416 15.490
1.391 1.578 12.166
0.714 3.559 9.206
-1.528 7.442 0.013
1.333 3.851 15.451
-0.966 7.833 12.205
3.439 1.161 9.232
2.725 2.398 18.425
4.001 0.771 2.986
2.668 3.080 6.232
2.299 5.523 12.205
0.966 7.833 15.451
2.242 6.205 0.013
1.528 7.442 9.206
5.933 0.771 6.232
3.634 4.753 2.986
6.495 1.161 18.425
4.253 5.044 9.232
3.576 7.026 6.271
2.906 8.188 2.947
7.873 0.416 12.166
4.296 6.610 15.490
7.209 2.398 9.232
5.681 5.044 18.425
7.266 3.080 2.986
6.301 4.753 6.232
8.544 1.578 15.490
5.638 6.610 12.166
```

- Raw formation energy: -1.103 eV/atom

No. 2
First-principles (PBE) data for a geometry-optimized KZr2Sc structure, as listed in Alexandria via LeMat-Bulk.

```
KZr2Sc
1.0
3.121 0.000 0.000
0.000 5.223 0.000
-1.401 0.000 7.661
K Zr Sc
1 2 1
Cartesian
0.000 0.000 0.000
0.243 2.611 5.066
1.477 2.611 2.595
-0.701 0.000 3.831
```

- ΔE_f: 547 meV per atom
- D(E_F): 4.6 states/eV/f.u.
- Relative energy among the computed polymorphs: 217 meV per atom

No. 3
First-principles (PBE) data for a geometry-optimized Th4Bi structure, as listed in Alexandria via LeMat-Bulk.

```
Th4Bi
1.0
5.940 0.000 0.000
0.000 5.940 0.000
0.000 0.000 5.940
Th Bi
4 1
Cartesian
0.000 0.000 0.000
0.000 2.970 2.970
2.970 0.000 2.970
2.970 2.970 0.000
2.970 2.970 2.970
```

- ΔE_f: 732 meV per atom
- D(E_F): 8.7 states/eV/f.u.

No. 4
First-principles (PBE) data for a geometry-optimized Ac2MgHg5 structure, as listed in Alexandria via LeMat-Bulk.

```
Ac2MgHg5
1.0
-2.731 2.731 7.508
2.731 -2.731 7.508
2.731 2.731 -7.508
Ac Mg Hg
2 1 5
Cartesian
0.000 0.000 3.667
0.000 0.000 11.349
0.000 0.000 7.508
0.000 0.000 0.000
2.731 0.000 1.645
2.731 0.000 5.863
0.000 2.731 1.645
0.000 2.731 5.863
```

- ΔE_f: -291 meV per atom
- D(E_F): 7.0 states/eV/f.u.

No. 5
First-principles (PBE) data for a geometry-optimized Cs2Hg2Cl5 structure, as listed in Alexandria via LeMat-Bulk.

```
Cs2Hg2Cl5
1.0
7.593 -2.791 0.000
7.593 2.791 0.000
-2.996 0.000 7.771
Cs Hg Cl
2 2 5
Cartesian
0.659 0.000 2.370
11.531 0.000 5.400
5.058 0.000 0.973
7.131 0.000 6.798
-0.414 0.000 7.111
3.999 0.000 3.361
7.593 0.000 0.000
8.190 0.000 4.410
12.604 0.000 0.660
```

- D(E_F): 0.8 states/eV/f.u.
- Raw formation energy: -1.147 eV/atom
- Relative energy among the computed polymorphs: 23 meV per atom

No. 6
First-principles (PBE) data for a geometry-optimized La2PrZnSe5 structure, as listed in Alexandria via LeMat-Bulk.

```
La2PrZnSe5
1.0
2.062 -8.964 0.000
2.062 8.964 0.000
0.000 0.000 12.810
La Pr Zn Se
4 2 2 10
Cartesian
2.062 6.823 6.405
2.062 6.793 1.940
2.062 -6.793 8.345
2.062 -6.823 0.000
2.062 5.647 10.716
2.062 -5.647 4.311
2.062 0.872 2.975
2.062 -0.872 9.380
2.062 8.647 10.614
2.062 3.576 6.444
2.062 3.286 2.112
2.062 2.703 10.579
2.062 0.124 7.175
2.062 -0.124 0.770
2.062 -2.703 4.174
2.062 -3.286 8.517
2.062 -3.576 0.039
2.062 -8.647 4.209
```

- D(E_F): 1.4 states/eV/f.u.
- Raw formation energy: -1.678 eV/atom